DFT (PBE-GGA) results for a geometry-optimized Sr2CoTeC structure.

extended XYZ file:
```
5
Lattice="5.6336 0.0000 0.0000 0.0000 5.6336 0.0000 0.0000 0.0000 3.7334" Properties=species:S:1:pos:R:3 pbc="T T T"
Sr 0.0000 2.8168 0.0000
Sr 2.8168 0.0000 0.0000
Co 0.0000 0.0000 1.8667
Te 2.8168 2.8168 1.8667
C 0.0000 0.0000 0.0000
```

Values from the calculation:
Formation energy from raw total energies   -391 meV/atom
Magnetic moment   0.42 μB per formula unit
Density of states at the Fermi level   4.4 states/eV/cell